P:
Entry from Alexandria: crystalline KP2Rh at its relaxed geometry (GGA-PBEsol).

a b c (Å): 3.2185 3.2185 6.9403
angles (deg): 90.00 90.00 90.00
Sites, in units of the cell vectors:
P: 0.0000 0.0000 0.1619
P: 0.0000 0.0000 0.8381
K: 0.5000 0.5000 0.5000
Rh: 0.5000 0.5000 0.0000

Computed properties:
Magnetic moment = 0.00 μB/atom
Space group = No. 123

***

Q:
Entry from Alexandria: crystalline KP2Rh at its relaxed geometry (GGA-PBEsol).

a b c (Å): 3.5612 4.0443 6.3548
angles (deg): 103.38 90.00 116.12
Sites, in units of the cell vectors:
Rh: 0.0000 0.0000 0.5000
K: 0.5000 0.0000 0.0000
P: 0.2784 0.5567 0.3707
P: 0.7216 0.4433 0.6293

Computed properties:
Magnetic moment = 0.00 μB/atom
Space group = No. 12

***

Energies relative to the most stable structure are P 185; Q 0, reported in meV/atom.

***

P:
Entry from Alexandria: crystalline KSrP2S at its relaxed geometry (GGA-PBEsol).

a b c (Å): 5.5107 5.5405 5.5405
angles (deg): 90.00 90.00 90.00
Sites, in units of the cell vectors:
P: 0.0000 0.0000 0.5000
P: 0.0000 0.5000 0.0000
S: 0.5000 0.0000 0.0000
Sr: 0.0000 0.0000 0.0000
K: 0.5000 0.5000 0.5000

Computed properties:
Magnetic moment = 0.28 μB/atom
Space group = No. 123

***

Q:
Entry from Alexandria: crystalline KSrP2S at its relaxed geometry (GGA-PBEsol).

a b c (Å): 5.1181 5.1181 5.2916
angles (deg): 90.00 90.00 90.00
Sites, in units of the cell vectors:
S: 0.0000 0.0000 0.5000
K: 0.0000 0.0000 0.0000
P: 0.5000 0.0000 0.0000
P: 0.0000 0.5000 0.0000
Sr: 0.5000 0.5000 0.5000

Computed properties:
Magnetic moment = 0.00 μB/atom
Space group = No. 123

***

Energies relative to the most stable structure are P 0; Q 264, reported in meV/atom.

***

P:
Entry from Alexandria: crystalline KScP2 at its relaxed geometry (GGA-PBEsol).

a b c (Å): 3.4749 3.9533 7.3960
angles (deg): 105.50 103.59 90.00
Sites, in units of the cell vectors:
Sc: 0.5357 0.5357 0.0714
P: 0.6543 0.1543 0.3086
P: 0.0180 0.0180 0.0360
K: 0.2920 0.7920 0.5840

Computed properties:
Magnetic moment = 0.00 μB/atom
Space group = No. 44

***

Q:
Entry from Alexandria: crystalline KScP2 at its relaxed geometry (GGA-PBEsol).

a b c (Å): 2.7988 5.2480 5.2480
angles (deg): 94.69 90.00 90.00
Sites, in units of the cell vectors:
P: 0.0000 0.5000 0.0000
P: 0.0000 0.0000 0.5000
Sc: 0.5000 0.0000 0.0000
K: 0.5000 0.5000 0.5000

Computed properties:
Magnetic moment = 0.00 μB/atom
Space group = No. 65

***

R:
Entry from Alexandria: crystalline KScP2 at its relaxed geometry (GGA-PBEsol).

a b c (Å): 5.3075 5.3075 9.0743
angles (deg): 107.00 107.00 90.00
Sites, in units of the cell vectors:
P: 0.1250 0.9291 0.7500
P: 0.1791 0.8750 0.2500
P: 0.6250 0.8209 0.7500
P: 0.0709 0.3750 0.2500
K: 0.5000 0.5000 0.0000
K: 0.7500 0.2500 0.5000
Sc: 0.2500 0.7500 0.5000
Sc: 0.0000 0.0000 0.0000

Computed properties:
Magnetic moment = 0.00 μB/atom
Space group = No. 122

***

Energies relative to the most stable structure are P 0; Q 300; R 131, reported in meV/atom.

***

P:
Entry from Alexandria: crystalline K2PSe at its relaxed geometry (GGA-PBEsol).

a b c (Å): 5.2643 5.2643 5.2643
angles (deg): 60.00 60.00 60.00
Sites, in units of the cell vectors:
Se: 0.2500 0.2500 0.2500
P: 0.5000 0.5000 0.5000
K: 0.7500 0.7500 0.7500
K: 0.0000 0.0000 0.0000

Computed properties:
Magnetic moment = 0.00 μB/atom
Space group = No. 216

***

Q:
Entry from Alexandria: crystalline K2PSe at its relaxed geometry (GGA-PBEsol).

a b c (Å): 4.4607 4.4607 9.1526
angles (deg): 75.90 75.90 60.00
Sites, in units of the cell vectors:
K: 0.9573 0.9573 0.1281
K: 0.7930 0.7930 0.6210
P: 0.5331 0.5331 0.4007
Se: 0.2166 0.2166 0.3502

Computed properties:
Magnetic moment = 0.00 μB/atom
Space group = No. 160

***

R:
Entry from Alexandria: crystalline K2PSe at its relaxed geometry (GGA-PBEsol).

a b c (Å): 4.4258 4.4258 5.7610
angles (deg): 112.59 112.59 90.00
Sites, in units of the cell vectors:
P: 0.0000 0.0000 0.0000
Se: 0.5000 0.5000 0.0000
K: 0.2500 0.7500 0.5000
K: 0.7500 0.2500 0.5000

Computed properties:
Magnetic moment = 0.00 μB/atom
Space group = No. 139

***

Energies relative to the most stable structure are P 239; Q 53; R 0, reported in meV/atom.

***

P:
Entry from Alexandria: crystalline KPSe at its relaxed geometry (GGA-PBEsol).

a b c (Å): 4.4949 6.3437 7.6413
angles (deg): 114.53 90.00 90.00
Sites, in units of the cell vectors:
K: 0.2500 0.3310 0.6619
K: 0.7500 0.6690 0.3381
P: 0.0000 0.0000 0.0000
P: 0.5000 0.0000 0.0000
Se: 0.7500 0.1661 0.3323
Se: 0.2500 0.8339 0.6677

Computed properties:
Magnetic moment = 0.00 μB/atom
Space group = No. 63

***

Q:
Entry from Alexandria: crystalline KPSe at its relaxed geometry (GGA-PBEsol).

a b c (Å): 4.8567 4.8567 4.8567
angles (deg): 60.00 60.00 60.00
Sites, in units of the cell vectors:
K: 0.2500 0.2500 0.2500
P: 0.0000 0.0000 0.0000
Se: 0.5000 0.5000 0.5000

Computed properties:
Magnetic moment = 0.00 μB/atom
Space group = No. 216

***

Energies relative to the most stable structure are P 0; Q 957, reported in meV/atom.

***

P:
Entry from Alexandria: crystalline KTaP2 at its relaxed geometry (GGA-PBEsol).

a b c (Å): 2.7315 2.7315 10.8657
angles (deg): 90.00 90.00 98.26
Sites, in units of the cell vectors:
Ta: 0.0000 0.0000 0.5411
P: 0.5000 0.5000 0.7140
P: 0.0000 0.0000 0.0054
K: 0.5000 0.5000 0.2394

Computed properties:
Magnetic moment = 0.00 μB/atom
Space group = No. 35

***

Q:
Entry from Alexandria: crystalline KTaP2 at its relaxed geometry (GGA-PBEsol).

a b c (Å): 6.8688 7.0707 6.8688
angles (deg): 60.94 90.00 119.06
Sites, in units of the cell vectors:
P: 0.7345 0.7500 0.3750
P: 0.8750 0.2500 0.7345
P: 0.3750 0.2500 0.0155
P: 0.0155 0.7500 0.8750
K: 0.2500 0.5000 0.2500
K: 0.5000 0.0000 0.5000
Ta: 0.0000 0.0000 0.0000
Ta: 0.7500 0.5000 0.7500

Computed properties:
Magnetic moment = 0.00 μB/atom
Space group = No. 122

***

R:
Entry from Alexandria: crystalline KTaP2 at its relaxed geometry (GGA-PBEsol).

a b c (Å): 3.8738 3.8738 5.4559
angles (deg): 110.79 110.79 90.00
Sites, in units of the cell vectors:
Ta: 0.5000 0.5000 0.0000
K: 0.2500 0.7500 0.5000
P: 0.0000 0.0000 0.0000
P: 0.7500 0.2500 0.5000

Computed properties:
Magnetic moment = 0.00 μB/atom
Space group = No. 119

***

Energies relative to the most stable structure are P 772; Q 0; R 796, reported in meV/atom.